Here is SiBNF2 at its PBEsol-relaxed geometry from Alexandria. Energies are from meta-GGA SCAN.

Output
V   9.99 Å³ per atom
Magnetization   0.00 μB/atom
Formation energy from raw total energies   -63.06 kJ/mol of atoms

The structure in CIF format:
```
data_SiBNF2
_cell_length_a 4.311
_cell_length_b 4.311
_cell_length_c 2.689
_cell_angle_alpha 90.00
_cell_angle_beta 90.00
_cell_angle_gamma 90.00
_symmetry_space_group_name_H-M 'P 4/m m m'
_symmetry_Int_Tables_number 123
_symmetry_space_group_name_Hall '-P 4 2'
loop_
_atom_site_label
_atom_site_type_symbol
_atom_site_fract_x
_atom_site_fract_y
_atom_site_fract_z
Si1 Si 0.000 0.000 0.000
B1 B 0.500 0.500 0.500
N1 N 0.500 0.500 0.000
F1 F 0.000 0.500 0.500
```

***

Here is BWN2F at its PBEsol-relaxed geometry from Alexandria. Energies are from meta-GGA SCAN.

Output
V   7.77 Å³ per atom
Magnetization   0.23 μB/atom
Formation energy from raw total energies   44.05 kJ/mol of atoms

The structure in CIF format:
```
data_BWN2F
_cell_length_a 3.644
_cell_length_b 3.644
_cell_length_c 2.923
_cell_angle_alpha 90.00
_cell_angle_beta 90.00
_cell_angle_gamma 90.00
_symmetry_space_group_name_H-M 'P 4/m m m'
_symmetry_Int_Tables_number 123
_symmetry_space_group_name_Hall '-P 4 2'
loop_
_atom_site_label
_atom_site_type_symbol
_atom_site_fract_x
_atom_site_fract_y
_atom_site_fract_z
B1 B 0.000 0.000 0.000
W1 W 0.500 0.500 0.500
N1 N 0.000 0.500 0.000
F1 F 0.000 0.000 0.500
```

***

Here is ZnBN2F at its PBEsol-relaxed geometry from Alexandria. Energies are from meta-GGA SCAN.

Output
V   8.84 Å³ per atom
Magnetization   0.00 μB/atom
Formation energy from raw total energies   19.90 kJ/mol of atoms

The structure in CIF format:
```
data_ZnBN2F
_cell_length_a 3.091
_cell_length_b 3.091
_cell_length_c 4.627
_cell_angle_alpha 90.00
_cell_angle_beta 90.00
_cell_angle_gamma 90.00
_symmetry_space_group_name_H-M 'P 4/m m m'
_symmetry_Int_Tables_number 123
_symmetry_space_group_name_Hall '-P 4 2'
loop_
_atom_site_label
_atom_site_type_symbol
_atom_site_fract_x
_atom_site_fract_y
_atom_site_fract_z
Zn1 Zn 0.000 0.000 0.000
B1 B 0.500 0.500 0.500
N1 N 0.000 0.500 0.500
F1 F 0.500 0.500 0.000
```

***

Here is Na2BF at its PBEsol-relaxed geometry from Alexandria. Energies are from meta-GGA SCAN.

Output
V   16.10 Å³ per atom
Magnetization   0.00 μB/atom
Formation energy from raw total energies   -0.65 kJ/mol of atoms

The structure in CIF format:
```
data_Na2BF
_cell_length_a 6.363
_cell_length_b 6.363
_cell_length_c 6.363
_cell_angle_alpha 90.00
_cell_angle_beta 90.00
_cell_angle_gamma 90.00
_symmetry_space_group_name_H-M 'F m -3 m'
_symmetry_Int_Tables_number 225
_symmetry_space_group_name_Hall '-F 4 2 3'
loop_
_atom_site_label
_atom_site_type_symbol
_atom_site_fract_x
_atom_site_fract_y
_atom_site_fract_z
Na1 Na 0.250 0.250 0.250
B1 B 0.000 0.000 0.000
F1 F 0.000 0.000 0.500
```

***

Here is NaBOsF2 at its PBEsol-relaxed geometry from Alexandria. Energies are from meta-GGA SCAN.

Output
V   18.20 Å³ per atom
Magnetization   0.51 μB/atom
Formation energy from raw total energies   59.48 kJ/mol of atoms

The structure in CIF format:
```
data_NaBOsF2
_cell_length_a 3.925
_cell_length_b 3.925
_cell_length_c 5.907
_cell_angle_alpha 90.00
_cell_angle_beta 90.00
_cell_angle_gamma 90.00
_symmetry_space_group_name_H-M 'P 4/m m m'
_symmetry_Int_Tables_number 123
_symmetry_space_group_name_Hall '-P 4 2'
loop_
_atom_site_label
_atom_site_type_symbol
_atom_site_fract_x
_atom_site_fract_y
_atom_site_fract_z
Na1 Na 0.000 0.000 0.000
B1 B 0.500 0.500 0.000
Os1 Os 0.000 0.000 0.500
F1 F 0.000 0.500 0.500
```

***

Here is Nb3BF at its PBEsol-relaxed geometry from Alexandria. Energies are from meta-GGA SCAN.

Output
V   16.22 Å³ per atom
Magnetization   0.00 μB/atom
Formation energy from raw total energies   38.26 kJ/mol of atoms

The structure in CIF format:
```
data_Nb3BF
_cell_length_a 4.328
_cell_length_b 4.328
_cell_length_c 4.328
_cell_angle_alpha 90.00
_cell_angle_beta 90.00
_cell_angle_gamma 90.00
_symmetry_space_group_name_H-M 'P m -3 m'
_symmetry_Int_Tables_number 221
_symmetry_space_group_name_Hall '-P 4 2 3'
loop_
_atom_site_label
_atom_site_type_symbol
_atom_site_fract_x
_atom_site_fract_y
_atom_site_fract_z
Nb1 Nb 0.000 0.000 0.500
B1 B 0.000 0.000 0.000
F1 F 0.500 0.500 0.500
```

***

Here is NbBO2F at its PBEsol-relaxed geometry from Alexandria. Energies are from meta-GGA SCAN.

Output
V   12.89 Å³ per atom
Magnetization   0.20 μB/atom
Formation energy from raw total energies   -104.62 kJ/mol of atoms

The structure in CIF format:
```
data_NbBO2F
_cell_length_a 3.952
_cell_length_b 3.952
_cell_length_c 4.127
_cell_angle_alpha 90.00
_cell_angle_beta 90.00
_cell_angle_gamma 90.00
_symmetry_space_group_name_H-M 'P 4/m m m'
_symmetry_Int_Tables_number 123
_symmetry_space_group_name_Hall '-P 4 2'
loop_
_atom_site_label
_atom_site_type_symbol
_atom_site_fract_x
_atom_site_fract_y
_atom_site_fract_z
Nb1 Nb 0.000 0.000 0.000
B1 B 0.500 0.500 0.500
O1 O 0.000 0.500 0.000
F1 F 0.000 0.000 0.500
```

***

Here is NbBS2F at its PBEsol-relaxed geometry from Alexandria. Energies are from meta-GGA SCAN.

Output
V   13.65 Å³ per atom
Magnetization   0.27 μB/atom
Formation energy from raw total energies   19.04 kJ/mol of atoms

The structure in CIF format:
```
data_NbBS2F
_cell_length_a 3.920
_cell_length_b 3.920
_cell_length_c 4.443
_cell_angle_alpha 90.00
_cell_angle_beta 90.00
_cell_angle_gamma 90.00
_symmetry_space_group_name_H-M 'P 4/m m m'
_symmetry_Int_Tables_number 123
_symmetry_space_group_name_Hall '-P 4 2'
loop_
_atom_site_label
_atom_site_type_symbol
_atom_site_fract_x
_atom_site_fract_y
_atom_site_fract_z
Nb1 Nb 0.000 0.000 0.000
B1 B 0.000 0.000 0.500
S1 S 0.000 0.500 0.500
F1 F 0.500 0.500 0.000
```

***

Here is Nd4B4O11F2 at its PBEsol-relaxed geometry from Alexandria. Energies are from meta-GGA SCAN.

Output
V   10.68 Å³ per atom
Magnetization   0.00 μB/atom
Formation energy from raw total energies   -331.44 kJ/mol of atoms

The structure in CIF format:
```
data_Nd4B4O11F2
_cell_length_a 13.774
_cell_length_b 4.685
_cell_length_c 13.902
_cell_angle_alpha 90.00
_cell_angle_beta 91.10
_cell_angle_gamma 90.00
_symmetry_space_group_name_H-M 'C 1 2/c 1'
_symmetry_Int_Tables_number 15
loop_
_symmetry_equiv_pos_as_xyz
'x,y,z'
'-x,-y,-z'
'-x,y,-z+1/2'
'x,-y,z+1/2'
'x+1/2,y+1/2,z'
'-x+1/2,-y+1/2,-z'
'-x+1/2,y+1/2,-z+1/2'
'x+1/2,-y+1/2,z+1/2'
loop_
_atom_site_label
_atom_site_type_symbol
_atom_site_fract_x
_atom_site_fract_y
_atom_site_fract_z
Nd1 Nd 0.059 0.026 0.370
Nd2 Nd 0.221 0.022 0.128
B1 B 0.093 0.480 0.214
B2 B 0.094 0.450 0.526
O1 O 0.000 0.355 0.250
O2 O 0.080 0.161 0.537
O3 O 0.087 0.374 0.107
O4 O 0.100 0.219 0.725
O5 O 0.112 0.445 0.936
O6 O 0.172 0.317 0.257
F1 F 0.230 0.021 0.425
```

***

Here is B3OF at its PBEsol-relaxed geometry from Alexandria. Energies are from meta-GGA SCAN.

Output
V   10.24 Å³ per atom
Magnetization   0.00 μB/atom
Formation energy from raw total energies   196.05 kJ/mol of atoms

The structure in CIF format:
```
data_B3OF
_cell_length_a 3.713
_cell_length_b 3.713
_cell_length_c 3.713
_cell_angle_alpha 90.00
_cell_angle_beta 90.00
_cell_angle_gamma 90.00
_symmetry_space_group_name_H-M 'P m -3 m'
_symmetry_Int_Tables_number 221
_symmetry_space_group_name_Hall '-P 4 2 3'
loop_
_atom_site_label
_atom_site_type_symbol
_atom_site_fract_x
_atom_site_fract_y
_atom_site_fract_z
B1 B 0.000 0.000 0.500
O1 O 0.000 0.000 0.000
F1 F 0.500 0.500 0.500
```

***

Here is BPO2F at its PBEsol-relaxed geometry from Alexandria. Energies are from meta-GGA SCAN.

Output
V   9.33 Å³ per atom
Magnetization   0.00 μB/atom
Formation energy from raw total energies   -30.59 kJ/mol of atoms

The structure in CIF format:
```
data_BPO2F
_cell_length_a 3.095
_cell_length_b 3.095
_cell_length_c 4.872
_cell_angle_alpha 90.00
_cell_angle_beta 90.00
_cell_angle_gamma 90.00
_symmetry_space_group_name_H-M 'P 4/m m m'
_symmetry_Int_Tables_number 123
_symmetry_space_group_name_Hall '-P 4 2'
loop_
_atom_site_label
_atom_site_type_symbol
_atom_site_fract_x
_atom_site_fract_y
_atom_site_fract_z
B1 B 0.000 0.000 0.000
P1 P 0.000 0.000 0.500
O1 O 0.000 0.500 0.000
F1 F 0.500 0.500 0.500
```

***

Here is BPb2O3F at its PBEsol-relaxed geometry from Alexandria. Energies are from meta-GGA SCAN.

Output
V   15.73 Å³ per atom
Magnetization   0.00 μB/atom
Formation energy from raw total energies   -192.45 kJ/mol of atoms

The structure in CIF format:
```
data_BPb2O3F
_cell_length_a 7.2709
_cell_length_b 7.2709
_cell_length_c 14.4317
_cell_angle_alpha 90.00
_cell_angle_beta 90.00
_cell_angle_gamma 120.00
_symmetry_space_group_name_H-M 'P 63/m'
_symmetry_Int_Tables_number 176
_symmetry_space_group_name_Hall '-P 6c'
loop_
_atom_site_label
_atom_site_type_symbol
_atom_site_fract_x
_atom_site_fract_y
_atom_site_fract_z
B1 B 0.0054 0.6373 0.2500
Pb1 Pb 0.0137 0.3256 0.1036
O1 O 0.0022 0.7250 0.1652
O2 O 0.0078 0.4475 0.2500
F1 F 0.0000 0.0000 0.0000
F2 F 0.3333 0.6667 0.0540
```